## FeCo2MoF (GGA+U)

Data for a geometry-optimized FeCo2MoF structure.

a = 4.925 Å, b = 4.925 Å, c = 4.067 Å
α = 90.00°, β = 90.00°, γ = 90.00°
Element x y z (fractional)
Fe 0.000 0.000 0.000
Co 0.000 0.500 0.500
Co 0.500 0.000 0.500
Mo 0.500 0.500 0.500
F 0.500 0.500 0.000

Summary:
The space group is P4/mmm. The total energy is -3.876 eV per atom.